1.
DFT (PBE) results for an optimized crystal structure of KHg2Au.

Lattice parameters (Å, degrees): 3.852 3.852 7.479 90.00 90.00 90.00
Fractional positions:
K (0.000, 0.000, 0.000)
Hg (0.500, 0.500, 0.294)
Hg (0.500, 0.500, 0.706)
Au (0.000, 0.000, 0.500)

Summary:
Total DFT energy (no corrections)   -5.593 eV/f.u.
Calculated formation energy   -0.6 eV/f.u.
V   110.98 Å³ per cell
Excess energy over the best structure of this formula in the dataset   109 meV per atom


2.
DFT (PBE) results for an optimized crystal structure of HoPuThSc.

Lattice parameters (Å, degrees): 5.439 5.439 5.439 60.00 60.00 60.00
Fractional positions:
Ho (0.000, 0.000, 0.000)
Pu (0.750, 0.750, 0.750)
Th (0.500, 0.500, 0.500)
Sc (0.250, 0.250, 0.250)

Summary:
Total DFT energy (no corrections)   -31.960 eV/f.u.
Calculated formation energy   0.7 eV/f.u.
V   113.80 Å³ per cell


3.
DFT (PBE) results for an optimized crystal structure of Ag2HgBiPb.

Lattice parameters (Å, degrees): 5.246 5.246 5.676 90.00 90.00 90.00
Fractional positions:
Ag (0.000, 0.500, 0.000)
Ag (0.500, 0.000, 0.000)
Hg (0.000, 0.000, 0.000)
Bi (0.500, 0.500, 0.500)
Pb (0.000, 0.000, 0.500)

Summary:
Total DFT energy (no corrections)   -10.917 eV/f.u.
Calculated formation energy   2.7 eV/f.u.
V   156.21 Å³ per cell


4.
DFT (PBE) results for an optimized crystal structure of Cs2ZrCdCl6.

Lattice parameters (Å, degrees): 8.257 8.257 8.257 60.00 60.00 60.00
Fractional positions:
Cs (0.250, 0.250, 0.250)
Cs (0.750, 0.750, 0.750)
Zr (0.000, 0.000, 0.000)
Cd (0.500, 0.500, 0.500)
Cl (0.214, 0.214, 0.786)
Cl (0.214, 0.786, 0.214)
Cl (0.214, 0.786, 0.786)
Cl (0.786, 0.214, 0.214)
Cl (0.786, 0.214, 0.786)
Cl (0.786, 0.786, 0.214)

Summary:
Total DFT energy (no corrections)   -38.848 eV/f.u.
V   398.09 Å³ per cell
Formation energy without anion corrections   -1.660 eV per atom


5.
DFT (PBE) results for an optimized crystal structure of RbHf3Cl.

Lattice parameters (Å, degrees): 5.006 5.006 5.006 90.00 90.00 90.00
Fractional positions:
Rb (0.000, 0.000, 0.000)
Hf (0.000, 0.500, 0.500)
Hf (0.500, 0.000, 0.500)
Hf (0.500, 0.500, 0.000)
Cl (0.500, 0.500, 0.500)

Summary:
Total DFT energy (no corrections)   -28.833 eV/f.u.
V   125.46 Å³ per cell
Formation energy without anion corrections   0.768 eV per atom
Excess energy over the best structure of this formula in the dataset   0 meV per atom


6.
DFT (PBE) results for an optimized crystal structure of SrTa2Cr.

Lattice parameters (Å, degrees): 5.977 5.977 5.977 150.40 127.01 61.87
Fractional positions:
Sr (0.000, 0.000, 0.000)
Ta (0.296, 0.796, 0.500)
Ta (0.704, 0.204, 0.500)
Cr (0.500, 0.500, 0.000)

Summary:
Total DFT energy (no corrections)   -31.717 eV/f.u.
Calculated formation energy   3.3 eV/f.u.
V   83.49 Å³ per cell
Excess energy over the best structure of this formula in the dataset   234 meV per atom


7.
DFT (PBE) results for an optimized crystal structure of NaLaYRh2.

Lattice parameters (Å, degrees): 4.928 4.928 4.865 90.00 90.00 90.00
Fractional positions:
Na (0.000, 0.000, 0.000)
La (0.000, 0.000, 0.500)
Y (0.500, 0.500, 0.500)
Rh (0.000, 0.500, 0.000)
Rh (0.500, 0.000, 0.000)

Summary:
Total DFT energy (no corrections)   -23.879 eV/f.u.
Calculated formation energy   3.5 eV/f.u.
V   118.15 Å³ per cell


8.
DFT (PBE) results for an optimized crystal structure of CaLa3N.

Lattice parameters (Å, degrees): 5.287 5.287 5.287 90.00 90.00 90.00
Fractional positions:
Ca (0.000, 0.000, 0.000)
La (0.000, 0.500, 0.500)
La (0.500, 0.000, 0.500)
La (0.500, 0.500, 0.000)
N (0.500, 0.500, 0.500)

Summary:
Total DFT energy (no corrections)   -27.448 eV/f.u.
V   147.82 Å³ per cell
Formation energy without anion corrections   -0.468 eV per atom
Excess energy over the best structure of this formula in the dataset   0 meV per atom


9.
DFT (PBE) results for an optimized crystal structure of LiMn2Pb.

Lattice parameters (Å, degrees): 3.012 4.521 5.444 90.00 103.06 90.00
Fractional positions:
Li (0.000, 0.000, 0.000)
Mn (0.188, 0.500, 0.779)
Mn (0.812, 0.500, 0.221)
Pb (0.500, 0.000, 0.500)

Summary:
Total DFT energy (no corrections)   -22.335 eV/f.u.
Calculated formation energy   1.6 eV/f.u.
V   72.22 Å³ per cell


10.
DFT (PBE) results for an optimized crystal structure of LiDy2NpS5.

Lattice parameters (Å, degrees): 8.323 8.323 11.769 90.00 90.00 152.97
Fractional positions:
Li (0.016, 0.984, 0.500)
Li (0.984, 0.016, 0.000)
Dy (0.375, 0.625, 0.318)
Dy (0.391, 0.609, 0.708)
Dy (0.609, 0.391, 0.208)
Dy (0.625, 0.375, 0.818)
Np (0.302, 0.698, 0.025)
Np (0.698, 0.302, 0.525)
S (0.001, 0.999, 0.804)
S (0.134, 0.866, 0.024)
S (0.191, 0.809, 0.363)
S (0.212, 0.788, 0.687)
S (0.454, 0.546, 0.096)
S (0.546, 0.454, 0.596)
S (0.788, 0.212, 0.187)
S (0.809, 0.191, 0.863)
S (0.866, 0.134, 0.524)
S (0.999, 0.001, 0.304)

Summary:
Total DFT energy (no corrections)   -59.552 eV/f.u.
V   370.57 Å³ per cell
Formation energy without anion corrections   -1.651 eV per atom


11.
DFT (PBE) results for an optimized crystal structure of ZrPtI2.

Lattice parameters (Å, degrees): 5.089 5.089 5.089 60.00 60.00 60.00
Fractional positions:
Zr (0.000, 0.000, 0.000)
Pt (0.500, 0.500, 0.500)
I (0.250, 0.250, 0.250)
I (0.750, 0.750, 0.750)

Summary:
Total DFT energy (no corrections)   -17.056 eV/f.u.
V   93.21 Å³ per cell
Formation energy without anion corrections   0.158 eV per atom
Excess energy over the best structure of this formula in the dataset   0 meV per atom


12.
DFT (PBE) results for an optimized crystal structure of GeOsSe2.

Lattice parameters (Å, degrees): 8.452 8.452 8.452 24.93 24.93 24.93
Fractional positions:
Ge (0.000, 0.000, 0.000)
Os (0.500, 0.500, 0.500)
Se (0.112, 0.112, 0.112)
Se (0.888, 0.888, 0.888)

Summary:
Total DFT energy (no corrections)   -21.558 eV/f.u.
V   94.34 Å³ per cell
Formation energy without anion corrections   0.315 eV per atom


13.
DFT (PBE) results for an optimized crystal structure of LaSm5Dy5.

Lattice parameters (Å, degrees): 6.146 6.146 11.715 90.00 90.00 120.00
Fractional positions:
La (0.000, 0.000, 0.000)
Sm (0.000, 0.000, 0.326)
Sm (0.000, 0.000, 0.674)
Sm (0.333, 0.667, 0.158)
Sm (0.333, 0.667, 0.842)
Sm (0.667, 0.333, 0.000)
Dy (0.001, 0.500, 0.500)
Dy (0.500, 0.500, 0.500)
Dy (0.500, 0.999, 0.500)
Dy (0.667, 0.333, 0.266)
Dy (0.667, 0.333, 0.734)

Summary:
Total DFT energy (no corrections)   -48.304 eV/f.u.
Calculated formation energy   3.2 eV/f.u.
V   383.23 Å³ per cell


14.
DFT (PBE) results for an optimized crystal structure of TaZnSeBr2.

Lattice parameters (Å, degrees): 5.229 5.229 4.995 90.00 90.00 90.00
Fractional positions:
Ta (0.000, 0.000, 0.000)
Zn (0.500, 0.500, 0.500)
Se (0.000, 0.000, 0.500)
Br (0.000, 0.500, 0.000)
Br (0.500, 0.000, 0.000)

Summary:
Total DFT energy (no corrections)   -20.602 eV/f.u.
V   136.59 Å³ per cell
Formation energy without anion corrections   -0.129 eV per atom
Excess energy over the best structure of this formula in the dataset   0 meV per atom


15.
DFT (PBE) results for an optimized crystal structure of Mg3BiN.

Lattice parameters (Å, degrees): 7.364 7.364 7.364 55.44 55.44 55.44
Fractional positions:
Mg (0.034, 0.750, 0.466)
Mg (0.250, 0.534, 0.966)
Mg (0.466, 0.034, 0.750)
Mg (0.534, 0.966, 0.250)
Mg (0.750, 0.466, 0.034)
Mg (0.966, 0.250, 0.534)
Bi (0.000, 0.000, 0.000)
Bi (0.500, 0.500, 0.500)
N (0.250, 0.250, 0.250)
N (0.750, 0.750, 0.750)

Summary:
Total DFT energy (no corrections)   -17.182 eV/f.u.
V   252.48 Å³ per cell
Formation energy without anion corrections   -0.038 eV per atom


16.
DFT (PBE) results for an optimized crystal structure of LaSiRu2.

Lattice parameters (Å, degrees): 3.204 4.561 5.244 90.00 107.31 90.00
Fractional positions:
La (0.000, 0.000, 0.000)
Si (0.367, 0.500, 0.721)
Ru (0.268, 0.000, 0.506)
Ru (0.695, 0.500, 0.366)

Summary:
Total DFT energy (no corrections)   -29.782 eV/f.u.
V   73.15 Å³ per cell
Formation energy without anion corrections   -0.220 eV per atom


17.
DFT (PBE) results for an optimized crystal structure of K4Hg5Bi2.

Lattice parameters (Å, degrees): 8.344 5.389 9.343 90.00 95.31 90.00
Fractional positions:
K (0.236, 0.000, 0.411)
K (0.238, 0.000, 0.876)
K (0.762, 0.000, 0.124)
K (0.764, 0.000, 0.589)
Hg (0.170, 0.500, 0.117)
Hg (0.462, 0.500, 0.659)
Hg (0.500, 0.500, 0.000)
Hg (0.538, 0.500, 0.341)
Hg (0.830, 0.500, 0.883)
Bi (0.074, 0.500, 0.654)
Bi (0.926, 0.500, 0.346)

Summary:
Total DFT energy (no corrections)   -16.383 eV/f.u.
Calculated formation energy   -2.7 eV/f.u.
V   418.35 Å³ per cell


18.
DFT (PBE) results for an optimized crystal structure of SrRe2Ru.

Lattice parameters (Å, degrees): 2.850 3.732 7.376 90.00 90.96 90.00
Fractional positions:
Sr (0.000, 0.000, 0.000)
Re (0.499, 0.500, 0.333)
Re (0.911, 0.000, 0.505)
Ru (0.480, 0.500, 0.687)

Summary:
Total DFT energy (no corrections)   -33.481 eV/f.u.
Calculated formation energy   2.4 eV/f.u.
V   78.45 Å³ per cell
Excess energy over the best structure of this formula in the dataset   0 meV per atom


19.
DFT (PBE) results for an optimized crystal structure of LiErHg3.

Lattice parameters (Å, degrees): 10.610 10.610 4.772 90.00 90.00 155.81
Fractional positions:
Li (0.248, 0.752, 0.750)
Li (0.752, 0.248, 0.250)
Er (0.435, 0.565, 0.750)
Er (0.565, 0.435, 0.250)
Hg (0.050, 0.950, 0.750)
Hg (0.169, 0.831, 0.250)
Hg (0.335, 0.665, 0.250)
Hg (0.665, 0.335, 0.750)
Hg (0.831, 0.169, 0.750)
Hg (0.950, 0.050, 0.250)

Summary:
Total DFT energy (no corrections)   -9.106 eV/f.u.
Calculated formation energy   -1.7 eV/f.u.
V   220.09 Å³ per cell
Excess energy over the best structure of this formula in the dataset   23 meV per atom


20.
DFT (PBE) results for an optimized crystal structure of BaHfAsO5.

Lattice parameters (Å, degrees): 6.128 6.128 7.851 104.92 104.92 105.67
Fractional positions:
Ba (0.175, 0.825, 0.750)
Ba (0.825, 0.175, 0.250)
Hf (0.500, 0.500, 0.000)
Hf (0.500, 0.500, 0.500)
As (0.188, 0.812, 0.250)
As (0.812, 0.188, 0.750)
O (0.126, 0.262, 0.898)
O (0.205, 0.613, 0.401)
O (0.262, 0.126, 0.398)
O (0.387, 0.795, 0.099)
O (0.445, 0.555, 0.750)
O (0.555, 0.445, 0.250)
O (0.613, 0.205, 0.901)
O (0.738, 0.874, 0.602)
O (0.795, 0.387, 0.599)
O (0.874, 0.738, 0.102)

Summary:
Total DFT energy (no corrections)   -60.756 eV/f.u.
V   256.82 Å³ per cell
Formation energy without anion corrections   -2.430 eV per atom